The following is a DFT calculation (PBE) of a relaxed structure of Cd2ReW.

Output
Energy above the lowest structure with this stoichiometry = 392 meV/atom
Formation energy = 3.04 eV per formula unit
Symmetry = Cmmm
Crystal system = orthorhombic

Cell: 5.470 9.470 2.731 Å, 90.00 90.00 90.00°
Positions (direct):
1 Cd 0.250 0.250 0.000
2 Cd 0.250 0.750 0.000
3 Cd 0.750 0.250 0.000
4 Cd 0.750 0.750 0.000
5 Re 0.000 0.000 0.500
6 Re 0.500 0.500 0.500
7 W 0.000 0.500 0.500
8 W 0.500 0.000 0.500

The following is a DFT calculation (PBE) of a relaxed structure of Hf2TaTeN.

Output
Energy relative to the elements, uncorrected = 0.492 eV/atom
Symmetry = P4/mmm
Crystal system = tetragonal

Cell: 5.334 5.334 3.926 Å, 90.00 90.00 90.00°
Positions (direct):
1 Hf 0.000 0.500 0.000
2 Hf 0.500 0.000 0.000
3 Ta 0.000 0.000 0.000
4 Te 0.500 0.500 0.500
5 N 0.000 0.000 0.500

Values for total DFT energy (no corrections), Ry/atom, ordered as above
-0.44459 -0.59922